A plane-wave DFT calculation with PBE was carried out for KAs2 after structural relaxation.

```
KAs2
1.0
-3.006 -1.466 -1.318
-1.274 -0.390 3.339
-0.348 6.317 -1.331
As K
2 1
Direct
0.711 0.711 0.421
0.289 0.289 0.579
0.000 0.000 0.000
```

Summary:
Fermi-level density of states, states/eV/f.u.: 0.93
Total magnetic moment, Bohr magnetons per cell: 0.00
Final energy, eV/atom: -3.7124
Formation energy from the elements, eV per atom: -0.247